# 1
A plane-wave DFT calculation with PBE was carried out for crystalline CePa2Se4 at its relaxed geometry.

Cell lengths 8.1520, 8.2418, 11.5185 Å; angles 90.00, 90.00, 90.00 degrees
Space group Imma (No. 74)
Unique sites:
1 Ce 0.0000 0.0000 0.0000 (multiplicity 4)
2 Pa 0.0000 0.0000 0.5000 (multiplicity 4)
3 Pa 0.2500 0.2500 0.2500 (multiplicity 4)
4 Se 0.0000 0.0022 0.7466 (multiplicity 8)
5 Se 0.2452 0.2500 0.5084 (multiplicity 8)

**Offset from the most stable computed form**: 0 kJ/mol of formula units
**Total energy**: -7.00 eV per atom
**Theoretical density**: 7.88 g/cm³


# 2
A plane-wave DFT calculation with PBE was carried out for crystalline CePaSe2 at its relaxed geometry.

Cell lengths 8.0513, 3.7764, 6.6015 Å; angles 90.00, 90.00, 90.00 degrees
Space group Pmma (No. 51)
Unique sites:
1 Ce 0.0000 0.0000 0.0000 (multiplicity 2)
2 Pa 0.0000 0.5000 0.5000 (multiplicity 2)
3 Se 0.2500 0.0000 0.3405 (multiplicity 2)
4 Se 0.2500 0.5000 0.8236 (multiplicity 2)

**Offset from the most stable computed form**: 64 kJ/mol of formula units
**Total energy**: -6.93 eV per atom
**Theoretical density**: 8.75 g/cm³


# 3
A plane-wave DFT calculation with PBE was carried out for crystalline CePaSe2 at its relaxed geometry.

Cell lengths 4.0316, 4.0316, 21.1561 Å; angles 90.00, 90.00, 120.00 degrees
Space group R-3m (No. 166, hexagonal axes)
Unique sites:
1 Ce 0.0000 0.0000 0.0000 (multiplicity 3)
2 Pa 0.0000 0.0000 0.5000 (multiplicity 3)
3 Se 0.0000 0.0000 0.2484 (multiplicity 6)

**Offset from the most stable computed form**: 0 kJ/mol of formula units
**Total energy**: -7.10 eV per atom
**Theoretical density**: 8.85 g/cm³


# 4
A plane-wave DFT calculation with PBE was carried out for crystalline Ce3PaSe6 at its relaxed geometry.

Cell lengths 12.9823, 12.9823, 12.1770 Å; angles 90.00, 90.00, 120.00 degrees
Space group R-3 (No. 148, hexagonal axes)
Unique sites:
1 Ce 0.0521 0.4381 0.3162 (multiplicity 18)
2 Pa 0.0000 0.0000 0.0000 (multiplicity 3)
3 Pa 0.0000 0.0000 0.5000 (multiplicity 3)
4 Se 0.0332 0.2107 0.3931 (multiplicity 18)
5 Se 0.0516 0.2046 0.8814 (multiplicity 18)

**Offset from the most stable computed form**: 0 kJ/mol of formula units
**Total energy**: -6.45 eV per atom
**Theoretical density**: 6.31 g/cm³


# 5
A plane-wave DFT calculation with PBE was carried out for crystalline Ce2PaSe4 at its relaxed geometry.

Cell lengths 4.0369, 13.9649, 13.8515 Å; angles 90.00, 90.00, 90.00 degrees
Space group Cmcm (No. 63)
Unique sites:
1 Ce 0.0000 0.1351 0.0683 (multiplicity 8)
2 Pa 0.0000 0.3759 0.2500 (multiplicity 4)
3 Se 0.0000 0.0259 0.2500 (multiplicity 4)
4 Se 0.0000 0.2224 0.6289 (multiplicity 8)
5 Se 0.0000 0.5000 0.0000 (multiplicity 4)

**Total energy**: -6.60 eV per atom
**Theoretical density**: 7.04 g/cm³


# 6
A plane-wave DFT calculation with PBE was carried out for crystalline Ce5PaSe8 at its relaxed geometry.

Cell lengths 8.8710, 8.8710, 8.8618 Å; angles 90.00, 90.00, 90.00 degrees
Space group I-4 (No. 82)
Unique sites:
1 Ce 0.0000 0.0000 0.0000 (multiplicity 2)
2 Ce 0.1251 0.7487 0.6258 (multiplicity 8)
3 Pa 0.0000 0.5000 0.2500 (multiplicity 2)
4 Se 0.0743 0.8225 0.2990 (multiplicity 8)
5 Se 0.0763 0.6721 0.9546 (multiplicity 8)

**Total energy**: -6.53 eV per atom
**Theoretical density**: 7.44 g/cm³


# 7
A plane-wave DFT calculation with PBE was carried out for crystalline CePaSe2 at its relaxed geometry.

Cell lengths 3.9383, 3.9383, 27.9927 Å; angles 90.00, 90.00, 120.00 degrees
Space group R-3m (No. 166, hexagonal axes)
Unique sites:
1 Ce 0.0000 0.0000 0.0000 (multiplicity 3)
2 Pa 0.0000 0.0000 0.5000 (multiplicity 3)
3 Se 0.0000 0.0000 0.1032 (multiplicity 6)

**Offset from the most stable computed form**: 224 kJ/mol of formula units
**Total energy**: -6.52 eV per atom
**Theoretical density**: 7.01 g/cm³


# 8
A plane-wave DFT calculation with PBE was carried out for crystalline Ce2Pa2Se7 at its relaxed geometry.

Cell lengths 4.8669, 4.8669, 13.8512 Å; angles 90.00, 90.00, 90.00 degrees
Space group P-4m2 (No. 115)
Unique sites:
1 Ce 0.0000 0.5000 0.1354 (multiplicity 2)
2 Pa 0.0000 0.5000 0.6246 (multiplicity 2)
3 Se 0.0000 0.0000 0.2470 (multiplicity 2)
4 Se 0.0000 0.0000 0.5000 (multiplicity 1)
5 Se 0.5000 0.5000 0.0000 (multiplicity 1)
6 Se 0.5000 0.5000 0.2600 (multiplicity 2)
7 Se 0.5000 0.5000 0.5000 (multiplicity 1)

**Offset from the most stable computed form**: 140 kJ/mol of formula units
**Total energy**: -6.46 eV per atom
**Theoretical density**: 6.55 g/cm³


# 9
A plane-wave DFT calculation with PBE was carried out for crystalline CePaSe3 at its relaxed geometry.

Cell lengths 7.7955, 4.1038, 16.0520 Å; angles 90.00, 90.00, 90.00 degrees
Space group Pnma (No. 62)
Unique sites:
1 Ce 0.1047 0.2500 0.2050 (multiplicity 4)
2 Pa 0.2395 0.7500 0.4583 (multiplicity 4)
3 Se 0.0029 0.2500 0.3976 (multiplicity 4)
4 Se 0.1225 0.7500 0.0679 (multiplicity 4)
5 Se 0.1731 0.2500 0.7805 (multiplicity 4)

**Offset from the most stable computed form**: 0 kJ/mol of formula units
**Total energy**: -6.78 eV per atom
**Theoretical density**: 7.86 g/cm³


# 10
A plane-wave DFT calculation with PBE was carried out for crystalline CePa3Se6 at its relaxed geometry.

Cell lengths 11.6029, 4.0114, 12.0295 Å; angles 90.00, 107.93, 90.00 degrees
Space group P2_1/m (No. 11)
Unique sites:
1 Ce 0.0463 0.2500 0.1949 (multiplicity 2)
2 Pa 0.1392 0.2500 0.5713 (multiplicity 2)
3 Pa 0.3199 0.7500 0.9994 (multiplicity 2)
4 Pa 0.4309 0.2500 0.3395 (multiplicity 2)
5 Se 0.0932 0.7500 0.3927 (multiplicity 2)
6 Se 0.1228 0.2500 0.9651 (multiplicity 2)
7 Se 0.1948 0.7500 0.7493 (multiplicity 2)
8 Se 0.2587 0.7500 0.2221 (multiplicity 2)
9 Se 0.3876 0.2500 0.5648 (multiplicity 2)
10 Se 0.4951 0.2500 0.1276 (multiplicity 2)

**Offset from the most stable computed form**: 0 kJ/mol of formula units
**Total energy**: -6.92 eV per atom
**Theoretical density**: 8.15 g/cm³


# 11
A plane-wave DFT calculation with PBE was carried out for crystalline CePa4Se5 at its relaxed geometry.

Cell lengths 14.0517, 3.9336, 10.2390 Å; angles 90.00, 121.24, 90.00 degrees
Space group C2/m (No. 12)
Unique sites:
1 Ce 0.0000 0.0000 0.0000 (multiplicity 2)
2 Pa 0.0976 0.5000 0.4001 (multiplicity 4)
3 Pa 0.2009 0.0000 0.7951 (multiplicity 4)
4 Se 0.0000 0.0000 0.5000 (multiplicity 2)
5 Se 0.1037 0.5000 0.8994 (multiplicity 4)
6 Se 0.1996 0.0000 0.3044 (multiplicity 4)

**Total energy**: -7.45 eV per atom
**Theoretical density**: 10.01 g/cm³


# 12
A plane-wave DFT calculation with PBE was carried out for crystalline Ce2Pa2Se7 at its relaxed geometry.

Cell lengths 4.0700, 14.9532, 9.0930 Å; angles 90.00, 90.00, 90.00 degrees
Space group Imm2 (No. 44)
Unique sites:
1 Ce 0.0000 0.0000 0.0000 (multiplicity 2)
2 Ce 0.0000 0.5000 0.0484 (multiplicity 2)
3 Pa 0.0000 0.2582 0.8142 (multiplicity 4)
4 Se 0.0000 0.1446 0.4982 (multiplicity 4)
5 Se 0.0000 0.1836 0.1146 (multiplicity 4)
6 Se 0.0000 0.3861 0.3280 (multiplicity 4)
7 Se 0.0000 0.5000 0.7333 (multiplicity 2)

**Offset from the most stable computed form**: 0 kJ/mol of formula units
**Total energy**: -6.59 eV per atom
**Theoretical density**: 7.77 g/cm³


# 13
A plane-wave DFT calculation with PBE was carried out for crystalline CePaSe2 at its relaxed geometry.

Cell lengths 3.9469, 3.9469, 22.5865 Å; angles 90.00, 90.00, 120.00 degrees
Space group R3m (No. 160, hexagonal axes)
Unique sites:
1 Ce 0.0000 0.0000 0.0000 (multiplicity 3)
2 Pa 0.0000 0.0000 0.8263 (multiplicity 3)
3 Se 0.0000 0.0000 0.4138 (multiplicity 3)
4 Se 0.0000 0.0000 0.5787 (multiplicity 3)

**Offset from the most stable computed form**: 43 kJ/mol of formula units
**Total energy**: -6.99 eV per atom
**Theoretical density**: 8.65 g/cm³


# 14
A plane-wave DFT calculation with PBE was carried out for crystalline CePaSe4 at its relaxed geometry.

Cell lengths 4.8581, 4.8581, 6.9182 Å; angles 90.00, 90.00, 90.00 degrees
Space group P4/mmm (No. 123)
Unique sites:
1 Ce 0.0000 0.0000 0.0000 (multiplicity 1)
2 Pa 0.5000 0.5000 0.5000 (multiplicity 1)
3 Se 0.0000 0.5000 0.2587 (multiplicity 4)

**Offset from the most stable computed form**: 0 kJ/mol of formula units
**Total energy**: -6.41 eV per atom
**Theoretical density**: 6.99 g/cm³


# 15
A plane-wave DFT calculation with PBE was carried out for crystalline CePaSe2 at its relaxed geometry.

Cell lengths 7.1807, 7.1807, 7.1807 Å; angles 90.00, 90.00, 90.00 degrees
Space group Fm-3m (No. 225)
Unique sites:
1 Ce 0.0000 0.0000 0.0000 (multiplicity 4)
2 Pa 0.0000 0.0000 0.5000 (multiplicity 4)
3 Se 0.2500 0.2500 0.2500 (multiplicity 8)

**Offset from the most stable computed form**: 107 kJ/mol of formula units
**Total energy**: -6.82 eV per atom
**Theoretical density**: 9.49 g/cm³


# 16
A plane-wave DFT calculation with PBE was carried out for crystalline CePaSe4 at its relaxed geometry.

Cell lengths 3.7937, 3.7937, 9.2935 Å; angles 90.00, 90.00, 90.00 degrees
Space group P4/mmm (No. 123)
Unique sites:
1 Ce 0.0000 0.0000 0.0000 (multiplicity 1)
2 Pa 0.5000 0.5000 0.5000 (multiplicity 1)
3 Se 0.0000 0.0000 0.3463 (multiplicity 2)
4 Se 0.5000 0.5000 0.1603 (multiplicity 2)

**Offset from the most stable computed form**: 62 kJ/mol of formula units
**Total energy**: -6.30 eV per atom
**Theoretical density**: 8.53 g/cm³


# 17
A plane-wave DFT calculation with PBE was carried out for crystalline Ce4PaSe10 at its relaxed geometry.

Cell lengths 10.8949, 10.8949, 6.8954 Å; angles 90.00, 90.00, 90.00 degrees
Space group I4/m (No. 87)
Unique sites:
1 Ce 0.0990 0.3009 0.0000 (multiplicity 8)
2 Pa 0.0000 0.0000 0.5000 (multiplicity 2)
3 Se 0.0000 0.5000 0.2500 (multiplicity 4)
4 Se 0.0993 0.8047 0.2552 (multiplicity 16)

**Total energy**: -6.12 eV per atom
**Theoretical density**: 6.42 g/cm³


# 18
A plane-wave DFT calculation with PBE was carried out for crystalline Ce2PaSe3 at its relaxed geometry.

Cell lengths 7.1617, 12.4092, 7.2128 Å; angles 90.00, 109.33, 90.00 degrees
Space group C2/m (No. 12)
Unique sites:
1 Ce 0.0000 0.0000 0.0000 (multiplicity 2)
2 Ce 0.0000 0.1642 0.5000 (multiplicity 4)
3 Ce 0.0000 0.5000 0.5000 (multiplicity 2)
4 Pa 0.0000 0.3328 0.0000 (multiplicity 4)
5 Se 0.2435 0.5000 0.2439 (multiplicity 4)
6 Se 0.2488 0.3314 0.7533 (multiplicity 8)

**Total energy**: -6.90 eV per atom
**Theoretical density**: 8.22 g/cm³


# 19
A plane-wave DFT calculation with PBE was carried out for crystalline CePa2Se4 at its relaxed geometry.

Cell lengths 4.0176, 13.2644, 14.0642 Å; angles 90.00, 90.00, 90.00 degrees
Space group Cmcm (No. 63)
Unique sites:
1 Ce 0.0000 0.1098 0.2500 (multiplicity 4)
2 Pa 0.0000 0.3590 0.0607 (multiplicity 8)
3 Se 0.0000 0.0000 0.0000 (multiplicity 4)
4 Se 0.0000 0.2784 0.6309 (multiplicity 8)
5 Se 0.0000 0.4436 0.2500 (multiplicity 4)

**Offset from the most stable computed form**: 31 kJ/mol of formula units
**Total energy**: -6.95 eV per atom
**Theoretical density**: 8.14 g/cm³


# 20
A plane-wave DFT calculation with PBE was carried out for crystalline Ce5Pa2Se12 at its relaxed geometry.

Cell lengths 16.4245, 7.7873, 9.5260 Å; angles 90.00, 107.42, 90.00 degrees
Space group C2/m (No. 12)
Unique sites:
1 Ce 0.0000 0.0000 0.0000 (multiplicity 2)
2 Ce 0.1869 0.5000 0.3239 (multiplicity 4)
3 Ce 0.2048 0.5000 0.8621 (multiplicity 4)
4 Pa 0.0000 0.2603 0.5000 (multiplicity 4)
5 Se 0.0029 0.5000 0.7281 (multiplicity 4)
6 Se 0.0086 0.0000 0.3057 (multiplicity 4)
7 Se 0.1492 0.2509 0.0640 (multiplicity 8)
8 Se 0.1761 0.2682 0.5931 (multiplicity 8)

**Total energy**: -6.37 eV per atom
**Theoretical density**: 6.03 g/cm³


Number 1: formation energy from raw total energies -1446 meV per atom. Number 2: formation energy from raw total energies -1333 meV per atom. Number 3: formation energy from raw total energies -1499 meV per atom. Number 4: formation energy from raw total energies -1633 meV per atom. Number 5: formation energy from raw total energies -1552 meV per atom. Number 6: formation energy from raw total energies -1743 meV per atom. Number 7: formation energy from raw total energies -918 meV per atom. Number 8: formation energy from raw total energies -1437 meV per atom. Number 9: formation energy from raw total energies -1601 meV per atom. Number 10: formation energy from raw total energies -1390 meV per atom. Number 11: formation energy from raw total energies -1319 meV per atom. Number 12: formation energy from raw total energies -1568 meV per atom. Number 13: formation energy from raw total energies -1388 meV per atom. Number 14: formation energy from raw total energies -1515 meV per atom. Number 15: formation energy from raw total energies -1222 meV per atom. Number 16: formation energy from raw total energies -1408 meV per atom. Number 17: formation energy from raw total energies -1580 meV per atom. Number 18: formation energy from raw total energies -1600 meV per atom. Number 19: formation energy from raw total energies -1399 meV per atom. Number 20: formation energy from raw total energies -1605 meV per atom.